Entry 1:
Below is a relaxed structure of WC5, with properties calculated at the GGA-PBE level. Values from VASP.

```
&SYSTEM
  ibrav = 0, nat = 6, ntyp = 2
/
ATOMIC_SPECIES
C 12.01 C.upf
W 183.84 W.upf
CELL_PARAMETERS angstrom
1.410 -6.867 0.000
1.410 6.867 0.000
0.000 0.000 2.680
ATOMIC_POSITIONS crystal
C 0.257 0.743 0.500
C 0.308 0.692 0.000
C 0.682 0.318 0.500
C 0.626 0.374 0.000
C 0.459 0.541 0.500
W 0.001 0.999 0.000
```

Values from the calculation:
As for the excess energy over the best structure of this formula in the dataset: 9.11 kcal/mol of atoms. The space-group type is No. 38. Its crystal system is orthorhombic.


Entry 2:
Below is a relaxed structure of WC5, with properties calculated at the GGA-PBE level. Values from VASP.

```
&SYSTEM
  ibrav = 0, nat = 6, ntyp = 2
/
ATOMIC_SPECIES
W 183.84 W.upf
C 12.01 C.upf
CELL_PARAMETERS angstrom
-1.685 1.199 6.609
-0.877 -0.595 -6.844
-0.604 -2.451 0.291
ATOMIC_POSITIONS crystal
W 0.111 0.889 0.500
C 0.711 0.289 0.000
C 0.412 0.588 0.000
C 0.974 0.026 0.000
C 0.345 0.655 0.500
C 0.779 0.221 0.500
```

Values from the calculation:
As for the excess energy over the best structure of this formula in the dataset: 0.00 kcal/mol of atoms. The space-group type is No. 38. Its crystal system is orthorhombic.


For the records above, the corresponding raw total energy values read -0.3199; -0.3344 Ha/atom.
For the records above, the corresponding formation enthalpy at 0 K values read 1.1397; 0.7446 eV/atom.